Entry 1:
Gd2MgCl: optimized geometry, PBE.

Cell lengths 3.4353, 3.4353, 11.1861 Å; angles 81.17, 81.17, 60.00 degrees
With the nearest neighbours (Å) after each atom.
Atoms (fractional coordinates):
Mg1 0.0000 0.0000 0.0000  2 Gd 3.28, 6 Mg 3.44
Cl1 0.5000 0.5000 0.5000  6 Gd 2.98
Gd1 0.9007 0.9007 0.2978  3 Cl 2.98, 1 Mg 3.28
Gd2 0.0993 0.0993 0.7022  3 Cl 2.98, 1 Mg 3.28

## Properties
The space group is No. 166. Its uncorrected formation energy is -0.4149 eV/atom. The crystal system is trigonal. Its density of states at the Fermi level is 5.06 states/eV/cell.



Entry 2:
Gd2MnCl: optimized geometry, PBE.

Cell lengths 3.3659, 3.3659, 8.1232 Å; angles 90.00, 90.00, 90.00 degrees
With the nearest neighbours (Å) after each atom.
Atoms (fractional coordinates):
Cl1 0.5000 0.5000 0.5000  8 Gd 3.29, 4 Cl 3.37
Gd1 0.0000 0.0000 0.7791  4 Mn 2.98, 4 Cl 3.29
Mn1 0.5000 0.5000 0.0000  8 Gd 2.98
Gd2 0.0000 0.0000 0.2209  4 Mn 2.98, 4 Cl 3.29

## Properties
The space group is No. 123. Its uncorrected formation energy is -0.5550 eV/atom. The crystal system is tetragonal. Its density of states at the Fermi level is 3.58 states/eV/cell.



Entry 3:
Gd3NCl6: optimized geometry, PBE.

Cell lengths 7.1766, 8.2469, 9.9148 Å; angles 75.91, 71.13, 65.37 degrees
With the nearest neighbours (Å) after each atom.
Atoms (fractional coordinates):
Cl1 0.8228 0.7212 0.7924  3 Gd 2.83-2.94
Gd1 0.4081 0.9087 0.3199  1 N 2.24
Gd2 0.2818 0.5661 0.2263  1 N 2.26
Gd3 0.7397 0.4178 0.3743  2 N 2.28-2.32
Cl2 0.8302 0.7368 0.2150  3 Gd 2.71-2.98
N1 0.5927 0.3715 0.6188  4 Gd 2.24-2.32
Cl3 0.6939 0.4191 0.0932  2 Gd 2.69-2.91
Cl4 0.4630 0.8240 0.6042  3 Gd 2.85-3.04
Cl5 0.0000 0.5000 0.5000  4 Gd 2.90-2.91
Gd4 0.5919 0.0913 0.6801  1 N 2.24
Cl6 0.1698 0.2632 0.7850  3 Gd 2.71-2.98
Cl7 0.3061 0.5809 0.9068  2 Gd 2.69-2.91
Cl8 0.2775 0.8918 0.1009  2 Gd 2.66-2.68
Cl9 0.5370 0.1760 0.3958  3 Gd 2.85-3.04
Gd5 0.2603 0.5822 0.6257  2 N 2.28-2.32
Cl10 0.7225 0.1082 0.8991  2 Gd 2.66-2.68
N2 0.4073 0.6285 0.3812  4 Gd 2.24-2.32
Gd6 0.7182 0.4339 0.7737  1 N 2.26
Cl11 0.0000 0.0000 0.5000  2 Gd 2.79
Cl12 0.1772 0.2788 0.2076  3 Gd 2.83-2.94

## Properties
The space group is No. 2. Its uncorrected formation energy is -2.1767 eV/atom. The crystal system is triclinic. Its density of states at the Fermi level is 0.00 states/eV/cell.



Entry 4:
NaGdCl4: optimized geometry, PBE.

Cell lengths 6.8129, 6.8787, 7.0726 Å; angles 88.68, 86.62, 77.63 degrees
With the nearest neighbours (Å) after each atom.
Atoms (fractional coordinates):
Cl1 0.0852 0.9964 0.2115  2 Gd 2.77-2.85, 1 Na 2.96
Gd1 0.2122 0.6986 0.9469  7 Cl 2.62-2.85
Na1 0.7768 0.8096 0.4664  5 Cl 2.77-3.04
Cl2 0.4422 0.3192 0.8732  2 Gd 2.72-2.78
Cl3 0.5578 0.6808 0.1268  2 Gd 2.72-2.78
Cl4 0.5963 0.1985 0.3582  1 Gd 2.62, 2 Na 2.77-2.80
Gd2 0.7878 0.3014 0.0531  7 Cl 2.62-2.85
Na2 0.2232 0.1904 0.5336  5 Cl 2.77-3.04
Cl5 0.0388 0.4977 0.2422  2 Gd 2.81-2.82, 2 Na 2.91-3.04
Cl6 0.9148 0.0036 0.7885  2 Gd 2.77-2.85, 1 Na 2.96
Cl7 0.4037 0.8015 0.6418  1 Gd 2.62, 2 Na 2.77-2.80
Cl8 0.9612 0.5023 0.7578  2 Gd 2.81-2.82, 2 Na 2.91-3.04

## Properties
The space group is No. 2. Its uncorrected formation energy is -2.1170 eV/atom. The crystal system is triclinic. Its density of states at the Fermi level is 0.00 states/eV/cell.



Entry 5:
Na2GdCl5: optimized geometry, PBE.

Cell lengths 7.8101, 8.3409, 12.1308 Å; angles 90.00, 90.00, 90.00 degrees
With the nearest neighbours (Å) after each atom.
Atoms (fractional coordinates):
Gd1 0.9172 0.7500 0.4923  7 Cl 2.71-2.80
Na1 0.9840 0.9938 0.1770  7 Cl 2.92-3.11
Cl1 0.8403 0.4545 0.4113  2 Gd 2.72-2.80, 1 Na 3.00
Cl2 0.0620 0.2500 0.0125  1 Gd 2.77, 4 Na 2.99-3.09
Na2 0.4840 0.0062 0.3230  7 Cl 2.92-3.11
Cl3 0.4380 0.2500 0.5125  1 Gd 2.77, 4 Na 2.99-3.09
Gd2 0.5828 0.7500 0.9923  7 Cl 2.71-2.80
Na3 0.0160 0.0062 0.8230  7 Cl 2.92-3.11
Cl4 0.3136 0.2500 0.7923  1 Gd 2.74, 2 Na 3.00
Gd3 0.4172 0.2500 0.0077  7 Cl 2.71-2.80
Na4 0.9840 0.5062 0.1770  7 Cl 2.92-3.11
Na5 0.5160 0.5062 0.6770  7 Cl 2.92-3.11
Cl5 0.5620 0.7500 0.4875  1 Gd 2.77, 4 Na 2.99-3.09
Na6 0.5160 0.9938 0.6770  7 Cl 2.92-3.11
Cl6 0.8635 0.2500 0.6812  1 Gd 2.71, 2 Na 2.92
Cl7 0.1864 0.2500 0.2923  1 Gd 2.74, 2 Na 3.00
Gd4 0.0828 0.2500 0.5077  7 Cl 2.71-2.80
Na7 0.0160 0.4938 0.8230  7 Cl 2.92-3.11
Cl8 0.8136 0.7500 0.7077  1 Gd 2.74, 2 Na 3.00
Cl9 0.9380 0.7500 0.9875  1 Gd 2.77, 4 Na 2.99-3.09
Cl10 0.3635 0.7500 0.8188  1 Gd 2.71, 2 Na 2.92
Cl11 0.3403 0.5455 0.0887  2 Gd 2.72-2.80, 1 Na 3.00
Cl12 0.1365 0.7500 0.3188  1 Gd 2.71, 2 Na 2.92
Cl13 0.3403 0.9545 0.0887  2 Gd 2.72-2.80, 1 Na 3.00
Cl14 0.6365 0.2500 0.1812  1 Gd 2.71, 2 Na 2.92
Cl15 0.6597 0.0455 0.9113  2 Gd 2.72-2.80, 1 Na 3.00
Cl16 0.6864 0.7500 0.2077  1 Gd 2.74, 2 Na 3.00
Na8 0.4840 0.4938 0.3230  7 Cl 2.92-3.11
Cl17 0.1597 0.5455 0.5887  2 Gd 2.72-2.80, 1 Na 3.00
Cl18 0.1597 0.9545 0.5887  2 Gd 2.72-2.80, 1 Na 3.00
Cl19 0.6597 0.4545 0.9113  2 Gd 2.72-2.80, 1 Na 3.00
Cl20 0.8403 0.0455 0.4113  2 Gd 2.72-2.80, 1 Na 3.00

## Properties
The space group is No. 62. Its uncorrected formation energy is -2.0258 eV/atom. The crystal system is orthorhombic. Its density of states at the Fermi level is 0.00 states/eV/cell.



Entry 6:
Na5Gd3Cl12: optimized geometry, PBE.

Cell lengths 14.0559, 14.0559, 14.0559 Å; angles 109.47, 109.47, 109.47 degrees
With the nearest neighbours (Å) after each atom.
Atoms (fractional coordinates):
Cl1 0.4495 0.7752 0.8674  2 Na 2.58-2.77
Cl2 0.5821 0.6326 0.4078  2 Na 2.58-2.77
Gd1 0.7500 0.8750 0.6250  8 Cl 2.96-3.07
Na1 0.6250 0.8750 0.2500  4 Cl 2.58
Na2 0.7500 0.6250 0.3750  4 Cl 2.58
Na3 0.5000 0.5000 0.5000  6 Cl 2.77
Na4 0.5000 0.5000 0.0000  6 Cl 2.77
Gd2 0.3750 0.7500 0.6250  8 Cl 2.96-3.07
Cl3 0.0821 0.1743 0.4495  2 Na 2.58-2.77
Gd3 0.8750 0.7500 0.1250  8 Cl 2.96-3.07
Cl4 0.1743 0.0821 0.9495  2 Na 2.58-2.77
Gd4 0.2500 0.1250 0.3750  8 Cl 2.96-3.07
Gd5 0.2500 0.6250 0.8750  8 Cl 2.96-3.07
Cl5 0.0821 0.9078 0.1326  2 Na 2.58-2.77
Na5 0.1250 0.7500 0.3750  4 Cl 2.58
Gd6 0.8750 0.1250 0.2500  8 Cl 2.96-3.07
Cl6 0.9495 0.5821 0.1743  2 Na 2.58-2.77
Na6 0.8750 0.6250 0.7500  4 Cl 2.58
Na7 0.2500 0.8750 0.1250  4 Cl 2.58
Cl7 0.0505 0.4179 0.8257  2 Na 2.58-2.77
Cl8 0.7248 0.1326 0.0505  2 Na 2.58-2.77
Cl9 0.8674 0.2752 0.4495  2 Na 2.58-2.77
Cl10 0.9179 0.0922 0.8674  2 Na 2.58-2.77
Na8 0.2500 0.3750 0.6250  4 Cl 2.58
Cl11 0.8257 0.9179 0.0505  2 Na 2.58-2.77
Na9 0.5000 0.0000 0.0000  6 Cl 2.77
Na10 0.6250 0.7500 0.8750  4 Cl 2.58
Cl12 0.9078 0.0821 0.6326  2 Na 2.58-2.77
Cl13 0.6326 0.5821 0.9078  2 Na 2.58-2.77
Cl14 0.8257 0.9078 0.2752  2 Na 2.58-2.77
Cl15 0.7752 0.3257 0.9078  2 Na 2.58-2.77
Cl16 0.0505 0.6326 0.7248  2 Na 2.58-2.77
Cl17 0.0922 0.1743 0.2248  2 Na 2.58-2.77
Na11 0.7500 0.1250 0.8750  4 Cl 2.58
Gd7 0.1250 0.2500 0.8750  8 Cl 2.96-3.07
Cl18 0.7752 0.4495 0.3674  2 Na 2.58-2.77
Cl19 0.5505 0.3257 0.9179  2 Na 2.58-2.77
Cl20 0.1326 0.4078 0.0821  2 Na 2.58-2.77
Cl21 0.4078 0.1326 0.5821  2 Na 2.58-2.77
Na12 0.0000 0.5000 0.5000  6 Cl 2.77
Gd8 0.1250 0.8750 0.7500  8 Cl 2.96-3.07
Cl22 0.3257 0.5505 0.4179  2 Na 2.58-2.77
Cl23 0.6743 0.2248 0.5922  2 Na 2.58-2.77
Cl24 0.2752 0.4078 0.8257  2 Na 2.58-2.77
Cl25 0.4078 0.2752 0.3257  2 Na 2.58-2.77
Cl26 0.3257 0.7752 0.4078  2 Na 2.58-2.77
Cl27 0.1743 0.0922 0.7248  2 Na 2.58-2.77
Gd9 0.3750 0.6250 0.2500  8 Cl 2.96-3.07
Cl28 0.9179 0.8257 0.5505  2 Na 2.58-2.77
Cl29 0.4179 0.0505 0.3257  2 Na 2.58-2.77
Na13 0.3750 0.1250 0.7500  4 Cl 2.58
Gd10 0.6250 0.3750 0.7500  8 Cl 2.96-3.07
Na14 0.3750 0.2500 0.1250  4 Cl 2.58
Cl30 0.6326 0.0505 0.2248  2 Na 2.58-2.77
Na15 0.1250 0.3750 0.2500  4 Cl 2.58
Cl31 0.8674 0.5922 0.9179  2 Na 2.58-2.77
Cl32 0.3674 0.4179 0.0922  2 Na 2.58-2.77
Na16 0.0000 0.0000 0.5000  6 Cl 2.77
Cl33 0.4179 0.3674 0.5922  2 Na 2.58-2.77
Na17 0.8750 0.2500 0.6250  4 Cl 2.58
Cl34 0.5821 0.9495 0.6743  2 Na 2.58-2.77
Cl35 0.2248 0.5505 0.6326  2 Na 2.58-2.77
Gd11 0.7500 0.3750 0.1250  8 Cl 2.96-3.07
Cl36 0.7248 0.5922 0.1743  2 Na 2.58-2.77
Cl37 0.5505 0.2248 0.1326  2 Na 2.58-2.77
Cl38 0.0922 0.9179 0.3674  2 Na 2.58-2.77
Cl39 0.6743 0.4495 0.5821  2 Na 2.58-2.77
Gd12 0.6250 0.2500 0.3750  8 Cl 2.96-3.07
Na18 0.5000 0.0000 0.5000  6 Cl 2.77
Cl40 0.5922 0.7248 0.6743  2 Na 2.58-2.77
Cl41 0.1326 0.7248 0.5505  2 Na 2.58-2.77
Cl42 0.9078 0.8257 0.7752  2 Na 2.58-2.77
Cl43 0.9495 0.3674 0.2752  2 Na 2.58-2.77
Cl44 0.2752 0.8674 0.9495  2 Na 2.58-2.77
Cl45 0.2248 0.6743 0.0922  2 Na 2.58-2.77
Na19 0.0000 0.5000 0.0000  6 Cl 2.77
Cl46 0.4495 0.6743 0.0821  2 Na 2.58-2.77
Na20 0.0000 0.0000 0.0000  6 Cl 2.77
Cl47 0.3674 0.9495 0.7752  2 Na 2.58-2.77
Cl48 0.5922 0.8674 0.4179  2 Na 2.58-2.77

## Properties
The space group is No. 230. Its uncorrected formation energy is -1.8508 eV/atom. The crystal system is cubic. Its density of states at the Fermi level is 79.96 states/eV/cell.



What did the second record say?
Gd2MnCl: optimized geometry, PBE.

Cell lengths 3.3659, 3.3659, 8.1232 Å; angles 90.00, 90.00, 90.00 degrees
With the nearest neighbours (Å) after each atom.
Atoms (fractional coordinates):
Cl1 0.5000 0.5000 0.5000  8 Gd 3.29, 4 Cl 3.37
Gd1 0.0000 0.0000 0.7791  4 Mn 2.98, 4 Cl 3.29
Mn1 0.5000 0.5000 0.0000  8 Gd 2.98
Gd2 0.0000 0.0000 0.2209  4 Mn 2.98, 4 Cl 3.29

## Properties
The space group is No. 123. Its uncorrected formation energy is -0.5550 eV/atom. The crystal system is tetragonal. Its density of states at the Fermi level is 3.58 states/eV/cell.